No. 1
Here is an optimized crystal structure of NpTlCoSe3 from the Alexandria database. Energies are from PBE.

Cell: 9.2293 3.9761 9.4610 Å, 90.00 109.62 90.00°
Atoms (fractional coordinates):
Np 0.1801 0.2500 0.1601
Np 0.8199 0.7500 0.8399
Tl 0.3014 0.7500 0.7761
Tl 0.6986 0.2500 0.2239
Co 0.4186 0.7500 0.4109
Co 0.5814 0.2500 0.5891
Se 0.0427 0.2500 0.8398
Se 0.3139 0.2500 0.4756
Se 0.3903 0.7500 0.1454
Se 0.6097 0.2500 0.8546
Se 0.6861 0.7500 0.5244
Se 0.9573 0.7500 0.1602

## Properties
Its total energy is -6.146 eV per atom. Its space-group type is No. 11. The calculation puts the raw formation energy at -0.668 eV per atom. The total magnetization is 4.63 μB per formula unit.

***

No. 2
Here is an optimized crystal structure of Sr3Li5Zn6 from the Alexandria database. Energies are from PBE.

Cell: 8.9618 8.9618 8.9618 Å, 151.37 106.93 80.28°
Atoms (fractional coordinates):
Sr 0.0000 0.0000 0.0000
Sr 0.3161 0.3161 0.0000
Sr 0.6839 0.6839 0.0000
Li 0.0054 0.6905 0.3150
Li 0.3755 0.6905 0.6850
Li 0.5000 0.0000 0.5000
Li 0.6245 0.3095 0.3150
Li 0.9946 0.3095 0.6850
Zn 0.1750 0.8955 0.2795
Zn 0.2745 0.5000 0.7745
Zn 0.3841 0.1045 0.2795
Zn 0.6159 0.8955 0.7205
Zn 0.7255 0.5000 0.2255
Zn 0.8250 0.1045 0.7205

## Properties
Its total energy is -1.748 eV per atom. Its space-group type is No. 71. The total magnetization is 0.00 μB per formula unit.

***

No. 3
Here is an optimized crystal structure of Li2PmMoH8 from the Alexandria database. Energies are from PBE.

Cell: 3.2836 6.4667 5.0963 Å, 90.00 90.45 90.00°
Atoms (fractional coordinates):
Li 0.0000 0.2328 0.0000
Li 0.0000 0.7672 0.0000
Pm 0.5000 0.5000 0.5000
Mo 0.5000 0.0000 0.5000
H 0.0023 0.0000 0.6965
H 0.0040 0.5000 0.7924
H 0.4980 0.2023 0.2450
H 0.4980 0.7977 0.2450
H 0.5020 0.2023 0.7550
H 0.5020 0.7977 0.7550
H 0.9960 0.5000 0.2076
H 0.9977 0.0000 0.3035

## Properties
Its total energy is -4.056 eV per atom. Its space-group type is No. 10. The total magnetization is 0.58 μB per formula unit.

***

No. 4
Here is an optimized crystal structure of K2SeCl from the Alexandria database. Energies are from PBE.

Cell: 3.6535 4.1530 17.2577 Å, 90.00 90.00 90.00°
Atoms (fractional coordinates):
K 0.0000 0.0000 0.0000
K 0.0000 0.5000 0.2310
K 0.5000 0.0000 0.7310
K 0.5000 0.5000 0.5000
Se 0.0000 0.5000 0.8445
Se 0.5000 0.0000 0.3445
Cl 0.0000 0.0000 0.5867
Cl 0.5000 0.5000 0.0867

## Properties
Its total energy is -3.106 eV per atom. Its space-group type is No. 44. The calculation puts the raw formation energy at -1.224 eV per atom. The calculation puts the energy above the most stable polymorph in this dataset at 47 meV/atom. The total magnetization is 0.00 μB per formula unit.

***

No. 5
Here is an optimized crystal structure of Y2ZnW2 from the Alexandria database. Energies are from PBE.

Cell: 5.6824 5.6824 7.6075 Å, 90.00 90.00 90.00°
Atoms (fractional coordinates):
Y 0.0000 0.5000 0.2500
Y 0.0000 0.5000 0.7500
Y 0.5000 0.0000 0.2500
Y 0.5000 0.0000 0.7500
Zn 0.0000 0.0000 0.0000
Zn 0.5000 0.5000 0.5000
W 0.0000 0.0000 0.3438
W 0.0000 0.0000 0.6562
W 0.5000 0.5000 0.1562
W 0.5000 0.5000 0.8438

## Properties
Its total energy is -7.030 eV per atom. Its space-group type is No. 139. The calculation puts the energy above the most stable polymorph in this dataset at 586 meV/atom. The total magnetization is 0.00 μB per formula unit.

***

No. 6
Here is an optimized crystal structure of IrPt2Br from the Alexandria database. Energies are from PBE.

Cell: 6.4506 6.4506 6.4506 Å, 90.00 90.00 90.00°
Atoms (fractional coordinates):
Ir 0.0000 0.0000 0.0000
Ir 0.0000 0.5000 0.5000
Ir 0.5000 0.0000 0.5000
Ir 0.5000 0.5000 0.0000
Pt 0.2500 0.2500 0.2500
Pt 0.2500 0.2500 0.7500
Pt 0.2500 0.7500 0.2500
Pt 0.2500 0.7500 0.7500
Pt 0.7500 0.2500 0.2500
Pt 0.7500 0.2500 0.7500
Pt 0.7500 0.7500 0.2500
Pt 0.7500 0.7500 0.7500
Br 0.0000 0.0000 0.5000
Br 0.0000 0.5000 0.0000
Br 0.5000 0.0000 0.0000
Br 0.5000 0.5000 0.5000

## Properties
Its total energy is -4.799 eV per atom. Its space-group type is No. 225. The calculation puts the raw formation energy at 0.855 eV per atom. The calculation puts the energy above the most stable polymorph in this dataset at 479 meV/atom. The total magnetization is 0.00 μB per formula unit.

***

No. 7
Here is an optimized crystal structure of AcZr2HO5 from the Alexandria database. Energies are from PBE.

Cell: 4.1325 4.1325 8.3825 Å, 90.00 90.00 90.00°
Atoms (fractional coordinates):
Ac 0.0000 0.0000 0.0000
Zr 0.5000 0.5000 0.2551
Zr 0.5000 0.5000 0.7449
H 0.5000 0.5000 0.5000
O 0.0000 0.5000 0.2188
O 0.0000 0.5000 0.7812
O 0.5000 0.0000 0.2188
O 0.5000 0.0000 0.7812
O 0.5000 0.5000 0.0000

## Properties
Its total energy is -8.358 eV per atom. Its space-group type is No. 123. The total magnetization is 0.00 μB per formula unit.

***

No. 8
Here is an optimized crystal structure of TaMoPt2Cl from the Alexandria database. Energies are from PBE.

Cell: 4.9786 4.9786 4.5940 Å, 90.00 90.00 90.00°
Atoms (fractional coordinates):
Ta 0.0000 0.0000 0.0000
Mo 0.5000 0.5000 0.5000
Pt 0.0000 0.5000 0.0000
Pt 0.5000 0.0000 0.0000
Cl 0.0000 0.0000 0.5000

## Properties
Its total energy is -6.390 eV per atom. Its space-group type is No. 123. The calculation puts the raw formation energy at 0.932 eV per atom. The total magnetization is 4.06 μB per formula unit.

***

No. 9
Here is an optimized crystal structure of BaTcC2 from the Alexandria database. Energies are from PBE.

Cell: 5.2436 5.2436 11.3379 Å, 90.00 90.00 90.00°
Atoms (fractional coordinates):
Ba 0.0000 0.2500 0.3750
Ba 0.0000 0.7500 0.6250
Ba 0.5000 0.2500 0.1250
Ba 0.5000 0.7500 0.8750
Tc 0.0000 0.2500 0.8750
Tc 0.0000 0.7500 0.1250
Tc 0.5000 0.2500 0.6250
Tc 0.5000 0.7500 0.3750
C 0.0000 0.0000 0.0000
C 0.0000 0.5000 0.0000
C 0.2500 0.2500 0.7500
C 0.2500 0.7500 0.2500
C 0.5000 0.0000 0.5000
C 0.5000 0.5000 0.5000
C 0.7500 0.2500 0.7500
C 0.7500 0.7500 0.2500

## Properties
Its total energy is -7.360 eV per atom. Its space-group type is No. 141. The calculation puts the energy above the most stable polymorph in this dataset at 0 meV/atom. The total magnetization is 0.00 μB per formula unit.

***

No. 10
Here is an optimized crystal structure of NdAl4Pt2 from the Alexandria database. Energies are from PBE.

Cell: 7.8484 7.8484 4.1390 Å, 90.00 90.00 90.00°
Atoms (fractional coordinates):
Nd 0.0000 0.0000 0.0000
Nd 0.5000 0.5000 0.5000
Al 0.0834 0.3365 0.5000
Al 0.1635 0.5834 0.0000
Al 0.3365 0.0834 0.5000
Al 0.4166 0.8365 0.0000
Al 0.5834 0.1635 0.0000
Al 0.6635 0.9166 0.5000
Al 0.8365 0.4166 0.0000
Al 0.9166 0.6635 0.5000
Pt 0.2194 0.7806 0.5000
Pt 0.2806 0.2806 0.0000
Pt 0.7194 0.7194 0.0000
Pt 0.7806 0.2194 0.5000

## Properties
Its total energy is -5.441 eV per atom. Its space-group type is No. 136. The calculation puts the energy above the most stable polymorph in this dataset at 72 meV/atom. The total magnetization is 0.00 μB per formula unit.

***

No. 11
Here is an optimized crystal structure of KRbBa2Pd from the Alexandria database. Energies are from PBE.

Cell: 6.3205 6.3205 7.1556 Å, 90.00 90.00 90.00°
Atoms (fractional coordinates):
K 0.0000 0.0000 0.0000
Rb 0.5000 0.5000 0.0000
Ba 0.0000 0.5000 0.5000
Ba 0.5000 0.0000 0.5000
Pd 0.5000 0.5000 0.5000

## Properties
Its total energy is -2.324 eV per atom. Its space-group type is No. 123. The calculation puts the energy above the most stable polymorph in this dataset at 4 meV/atom. The total magnetization is 0.00 μB per formula unit.

***

No. 12
Here is an optimized crystal structure of Ti2NbCuSb from the Alexandria database. Energies are from PBE.

Cell: 4.5739 4.5739 4.7259 Å, 90.00 90.00 90.00°
Atoms (fractional coordinates):
Ti 0.0000 0.5000 0.0000
Ti 0.5000 0.0000 0.0000
Nb 0.0000 0.0000 0.5000
Cu 0.0000 0.0000 0.0000
Sb 0.5000 0.5000 0.5000

## Properties
Its total energy is -6.382 eV per atom. Its space-group type is No. 123. The calculation puts the raw formation energy at 0.434 eV per atom. The total magnetization is 0.00 μB per formula unit.

***

Copy entry 1 word for word.
Here is an optimized crystal structure of NpTlCoSe3 from the Alexandria database. Energies are from PBE.

Cell: 9.2293 3.9761 9.4610 Å, 90.00 109.62 90.00°
Atoms (fractional coordinates):
Np 0.1801 0.2500 0.1601
Np 0.8199 0.7500 0.8399
Tl 0.3014 0.7500 0.7761
Tl 0.6986 0.2500 0.2239
Co 0.4186 0.7500 0.4109
Co 0.5814 0.2500 0.5891
Se 0.0427 0.2500 0.8398
Se 0.3139 0.2500 0.4756
Se 0.3903 0.7500 0.1454
Se 0.6097 0.2500 0.8546
Se 0.6861 0.7500 0.5244
Se 0.9573 0.7500 0.1602

## Properties
Its total energy is -6.146 eV per atom. Its space-group type is No. 11. The calculation puts the raw formation energy at -0.668 eV per atom. The total magnetization is 4.63 μB per formula unit.